DFT (PBE) results for an optimized crystal structure of Dy7BI12.

Cell and atoms, written as POSCAR:
```
Dy7BI12
1.0
-7.042 -6.492 -0.979
6.379 -1.490 -7.056
4.428 -1.701 8.379
Dy B I
7 1 12
direct
0.969 0.708 0.901 Dy
0.292 0.099 0.031 Dy
0.099 0.031 0.292 Dy
0.500 0.500 0.500 Dy
0.901 0.969 0.708 Dy
0.708 0.901 0.969 Dy
0.031 0.292 0.099 Dy
0.000 0.000 0.000 B
0.923 0.313 0.774 I
0.687 0.226 0.077 I
0.468 0.153 0.388 I
0.847 0.612 0.532 I
0.226 0.077 0.687 I
0.612 0.532 0.847 I
0.388 0.468 0.153 I
0.774 0.923 0.313 I
0.153 0.388 0.468 I
0.532 0.847 0.612 I
0.313 0.774 0.923 I
0.077 0.687 0.226 I
```

Summary:
* energy relative to the elements, uncorrected: -116 kJ/mol of atoms
* total magnetization: 1.821 μB/cell


DFT (PBE) results for an optimized crystal structure of Dy4B2I5.

Cell and atoms, written as POSCAR:
```
Dy4B2I5
1.0
3.941 0.000 -0.680
-0.543 7.910 -3.149
0.006 0.098 11.801
Dy B I
4 2 5
direct
0.000 0.312 0.000 Dy
0.643 0.643 0.286 Dy
0.000 0.688 0.000 Dy
0.357 0.357 0.714 Dy
0.464 0.464 0.927 B
0.536 0.536 0.073 B
0.844 0.078 0.688 I
0.844 0.610 0.688 I
0.156 0.390 0.312 I
0.156 0.922 0.312 I
0.500 0.000 0.000 I
```

Summary:
* energy relative to the elements, uncorrected: -90 kJ/mol of atoms
* total magnetization: 0.000 μB/cell


DFT (PBE) results for an optimized crystal structure of Dy2In2BIr4.

Cell and atoms, written as POSCAR:
```
Dy2In2BIr4
1.0
-2.137 -5.457 -1.666
5.964 1.155 -0.459
0.067 1.524 5.898
Dy In B Ir
2 2 1 4
direct
0.000 0.707 0.707 Dy
0.000 0.293 0.293 Dy
0.500 0.750 0.250 In
0.500 0.250 0.750 In
0.000 0.000 0.000 B
0.000 0.760 0.240 Ir
0.520 0.760 0.760 Ir
0.000 0.240 0.760 Ir
0.480 0.240 0.240 Ir
```

Summary:
* total magnetization: 0.000 μB/cell
* formation enthalpy at 0 K: -36.99 kJ/mol of atoms


DFT (PBE) results for an optimized crystal structure of Dy2InB2Ru5.

Cell and atoms, written as POSCAR:
```
Dy2InB2Ru5
1.0
-1.375 -0.799 2.726
-3.058 -8.367 -3.994
8.238 -4.382 2.871
Dy In B Ru
4 2 4 10
direct
0.000 0.677 0.177 Dy
0.000 0.323 0.823 Dy
0.000 0.177 0.323 Dy
0.000 0.823 0.677 Dy
0.000 0.000 0.000 In
0.000 0.500 0.500 In
0.000 0.122 0.622 B
0.000 0.878 0.378 B
0.000 0.622 0.878 B
0.000 0.378 0.122 B
0.500 0.227 0.070 Ru
0.500 0.773 0.930 Ru
0.500 0.070 0.773 Ru
0.500 0.727 0.430 Ru
0.500 0.930 0.227 Ru
0.500 0.273 0.570 Ru
0.500 0.570 0.727 Ru
0.500 0.430 0.273 Ru
0.500 0.500 0.000 Ru
0.500 0.000 0.500 Ru
```

Summary:
* total magnetization: 0.000 μB/cell
* formation enthalpy at 0 K: -38.48 kJ/mol of atoms


DFT (PBE) results for an optimized crystal structure of DyB4Ir8.

Cell and atoms, written as POSCAR:
```
DyB4Ir8
1.0
5.465 0.000 0.000
2.733 4.733 0.000
2.733 1.578 7.965
Dy B Ir
1 4 8
direct
0.500 0.500 0.500 Dy
0.000 0.500 0.000 B
0.500 0.500 0.000 B
0.500 0.000 0.000 B
0.000 0.000 0.000 B
0.733 0.229 0.809 Ir
0.771 0.267 0.191 Ir
0.267 0.771 0.191 Ir
0.771 0.771 0.191 Ir
0.732 0.732 0.804 Ir
0.268 0.268 0.196 Ir
0.229 0.229 0.809 Ir
0.229 0.733 0.809 Ir
```

Summary:
* total magnetization: 0.000 μB/cell
* formation enthalpy at 0 K: -5.28 kJ/mol of atoms


DFT (PBE) results for an optimized crystal structure of Dy2B10Ir.

Cell and atoms, written as POSCAR:
```
Dy2B10Ir
1.0
-0.515 -0.437 -4.117
-3.402 -4.472 0.900
-8.973 6.905 0.389
Dy B Ir
4 20 2
direct
0.500 0.295 0.866 Dy
0.500 0.705 0.134 Dy
0.500 0.795 0.634 Dy
0.500 0.205 0.366 Dy
0.000 0.119 0.543 B
0.000 0.881 0.457 B
0.000 0.619 0.957 B
0.000 0.381 0.043 B
0.000 0.136 0.697 B
0.000 0.864 0.303 B
0.301 0.220 0.119 B
0.301 0.780 0.881 B
0.699 0.720 0.381 B
0.699 0.280 0.619 B
0.699 0.780 0.881 B
0.699 0.220 0.119 B
0.301 0.280 0.619 B
0.301 0.720 0.381 B
0.000 0.056 0.193 B
0.000 0.944 0.807 B
0.000 0.556 0.307 B
0.000 0.444 0.693 B
0.000 0.364 0.197 B
0.000 0.636 0.803 B
0.000 0.500 0.500 Ir
0.000 0.000 0.000 Ir
```

Summary:
* total magnetization: 0.000 μB/cell
* formation enthalpy at 0 K: -51.36 kJ/mol of atoms


DFT (PBE) results for an optimized crystal structure of Dy2B4Ir3.

Cell and atoms, written as POSCAR:
```
Dy2B4Ir3
1.0
-0.884 0.492 -5.309
-4.219 -1.025 3.219
1.817 5.066 1.612
Dy B Ir
2 4 3
direct
0.654 0.654 0.307 Dy
0.346 0.346 0.693 Dy
0.048 0.618 0.666 B
0.618 0.048 0.666 B
0.952 0.382 0.334 B
0.382 0.952 0.334 B
0.500 0.000 0.000 Ir
0.000 0.000 0.000 Ir
0.000 0.500 0.000 Ir
```

Summary:
* total magnetization: 0.000 μB/cell
* formation enthalpy at 0 K: -24.48 kJ/mol of atoms


DFT (PBE) results for an optimized crystal structure of Dy2B6Ir9.

Cell and atoms, written as POSCAR:
```
Dy2B6Ir9
1.0
-4.226 3.533 -1.265
-1.082 -5.456 1.004
-1.049 1.755 8.401
Dy B Ir
2 6 9
direct
0.000 0.000 0.703 Dy
0.000 0.000 0.297 Dy
0.333 0.667 0.000 B
0.667 0.333 0.000 B
0.333 0.667 0.667 B
0.667 0.333 0.667 B
0.667 0.333 0.333 B
0.333 0.667 0.333 B
0.500 0.000 0.836 Ir
0.000 0.500 0.836 Ir
0.500 0.500 0.836 Ir
0.500 0.000 0.164 Ir
0.000 0.500 0.164 Ir
0.500 0.500 0.164 Ir
0.500 0.000 0.500 Ir
0.000 0.500 0.500 Ir
0.500 0.500 0.500 Ir
```

Summary:
* total magnetization: 0.000 μB/cell
* formation enthalpy at 0 K: -55.55 kJ/mol of atoms


DFT (PBE) results for an optimized crystal structure of DyB4Ir4.

Cell and atoms, written as POSCAR:
```
DyB4Ir4
1.0
5.405 0.000 0.000
0.000 5.405 0.000
0.000 0.000 7.478
Dy B Ir
2 8 8
direct
0.000 0.000 0.000 Dy
0.500 0.500 0.500 Dy
0.500 0.828 0.846 B
0.500 0.172 0.846 B
0.828 0.500 0.154 B
0.172 0.500 0.154 B
0.328 0.000 0.346 B
0.672 0.000 0.346 B
0.000 0.328 0.654 B
0.000 0.672 0.654 B
0.251 0.500 0.856 Ir
0.749 0.500 0.856 Ir
0.500 0.749 0.144 Ir
0.500 0.251 0.144 Ir
0.000 0.751 0.356 Ir
0.000 0.249 0.356 Ir
0.249 0.000 0.644 Ir
0.751 0.000 0.644 Ir
```

Summary:
* total magnetization: 0.000 μB/cell
* formation enthalpy at 0 K: -48.62 kJ/mol of atoms
* polymorph energy (0 for the lowest one): 47.8 meV per atom


DFT (PBE) results for an optimized crystal structure of DyBIr.

Cell and atoms, written as POSCAR:
```
DyBIr
1.0
-0.142 -1.772 2.914
1.905 -4.110 -2.407
4.490 3.974 0.635
Dy B Ir
2 2 2
direct
0.883 0.701 0.766 Dy
0.117 0.299 0.234 Dy
0.227 0.877 0.454 B
0.773 0.123 0.546 B
0.611 0.768 0.223 Ir
0.389 0.232 0.777 Ir
```

Summary:
* total magnetization: 0.000 μB/cell
* formation enthalpy at 0 K: -60.44 kJ/mol of atoms
* polymorph energy (0 for the lowest one): 36.9 meV per atom


DFT (PBE) results for an optimized crystal structure of Dy3B2Ir7.

Cell and atoms, written as POSCAR:
```
Dy3B2Ir7
1.0
-1.864 0.566 5.052
1.066 -3.789 3.719
6.044 2.584 4.842
Dy B Ir
3 2 7
direct
0.000 0.000 0.000 Dy
0.856 0.856 0.431 Dy
0.144 0.144 0.569 Dy
0.665 0.665 0.006 B
0.335 0.335 0.994 B
0.500 0.500 0.500 Ir
0.931 0.430 0.208 Ir
0.430 0.931 0.208 Ir
0.430 0.430 0.208 Ir
0.069 0.570 0.792 Ir
0.570 0.570 0.792 Ir
0.570 0.069 0.792 Ir
```

Summary:
* total magnetization: 0.000 μB/cell
* formation enthalpy at 0 K: -70.95 kJ/mol of atoms


DFT (PBE) results for an optimized crystal structure of Dy4B6Ir7.

Cell and atoms, written as POSCAR:
```
Dy4B6Ir7
1.0
-3.048 -6.210 0.094
6.378 -0.601 -2.612
0.372 2.484 6.446
Dy B Ir
4 6 7
direct
0.500 0.000 0.000 Dy
0.500 0.500 0.500 Dy
0.000 0.500 0.000 Dy
0.000 0.000 0.500 Dy
0.633 0.000 0.633 B
0.633 0.633 0.000 B
0.000 0.367 0.367 B
0.367 0.000 0.367 B
0.367 0.367 0.000 B
0.000 0.633 0.633 B
0.750 0.500 0.250 Ir
0.250 0.750 0.500 Ir
0.500 0.750 0.250 Ir
0.750 0.250 0.500 Ir
0.250 0.500 0.750 Ir
0.500 0.250 0.750 Ir
0.000 0.000 0.000 Ir
```

Summary:
* total magnetization: 0.000 μB/cell
* formation enthalpy at 0 K: -41.39 kJ/mol of atoms


What did the twelfth record say?
DFT (PBE) results for an optimized crystal structure of Dy4B6Ir7.

Cell and atoms, written as POSCAR:
```
Dy4B6Ir7
1.0
-3.048 -6.210 0.094
6.378 -0.601 -2.612
0.372 2.484 6.446
Dy B Ir
4 6 7
direct
0.500 0.000 0.000 Dy
0.500 0.500 0.500 Dy
0.000 0.500 0.000 Dy
0.000 0.000 0.500 Dy
0.633 0.000 0.633 B
0.633 0.633 0.000 B
0.000 0.367 0.367 B
0.367 0.000 0.367 B
0.367 0.367 0.000 B
0.000 0.633 0.633 B
0.750 0.500 0.250 Ir
0.250 0.750 0.500 Ir
0.500 0.750 0.250 Ir
0.750 0.250 0.500 Ir
0.250 0.500 0.750 Ir
0.500 0.250 0.750 Ir
0.000 0.000 0.000 Ir
```

Summary:
* total magnetization: 0.000 μB/cell
* formation enthalpy at 0 K: -41.39 kJ/mol of atoms


Q: Look up the total magnetization of the seventh one.
A: 0.000 μB/cell


Q: Which formula does entry 11 have?
A: Dy3B2Ir7